Record 1
# ScGaNiAu PBE-GGA relaxed
# * space group: F-43m (216)
# * V: 16.2 A^3/atom
# * uncorrected energy: -5.003 eV/atom
data_ScGaNiAu
_chemical_formula_sum 'Sc1 Ga1 Ni1 Au1'
_cell_length_a 4.509
_cell_length_b 4.509
_cell_length_c 4.509
_cell_angle_alpha 60.00
_cell_angle_beta 60.00
_cell_angle_gamma 60.00
_space_group_name_H-M_alt 'P 1'
_space_group_IT_number 1
_space_group_name_Hall 'P 1'
loop_
_atom_site_label
_atom_site_type_symbol
_atom_site_fract_x
_atom_site_fract_y
_atom_site_fract_z
Ga1 Ga 0.000 0.000 0.000
Ni1 Ni 0.750 0.750 0.750
Au1 Au 0.500 0.500 0.500
Sc1 Sc 0.250 0.250 0.250

---

Record 2
# SrGa2NiAu PBE-GGA relaxed
# * space group: P4/nmm (129)
# * V: 20.1 A^3/atom
# * uncorrected energy: -3.828 eV/atom
data_SrGa2NiAu
_chemical_formula_sum 'Sr2 Ga4 Ni2 Au2'
_cell_length_a 4.405
_cell_length_b 4.405
_cell_length_c 10.376
_cell_angle_alpha 90.00
_cell_angle_beta 90.00
_cell_angle_gamma 90.00
_space_group_name_H-M_alt 'P 1'
_space_group_IT_number 1
_space_group_name_Hall 'P 1'
loop_
_atom_site_label
_atom_site_type_symbol
_atom_site_fract_x
_atom_site_fract_y
_atom_site_fract_z
Ga1 Ga 0.500 0.000 0.903
Sr1 Sr 0.500 0.000 0.235
Au1 Au 0.000 0.500 0.355
Ga2 Ga 0.000 0.500 0.097
Ga3 Ga 0.000 0.000 0.500
Au2 Au 0.500 0.000 0.645
Ni1 Ni 0.500 0.500 0.000
Ga4 Ga 0.500 0.500 0.500
Ni2 Ni 0.000 0.000 0.000
Sr2 Sr 0.000 0.500 0.765

---

Record 3
# TaGaNiAu PBE-GGA relaxed
# * space group: F-43m (216)
# * V: 15.5 A^3/atom
# * uncorrected energy: -5.946 eV/atom
data_TaGaNiAu
_chemical_formula_sum 'Ta1 Ga1 Ni1 Au1'
_cell_length_a 4.441
_cell_length_b 4.441
_cell_length_c 4.441
_cell_angle_alpha 60.00
_cell_angle_beta 60.00
_cell_angle_gamma 60.00
_space_group_name_H-M_alt 'P 1'
_space_group_IT_number 1
_space_group_name_Hall 'P 1'
loop_
_atom_site_label
_atom_site_type_symbol
_atom_site_fract_x
_atom_site_fract_y
_atom_site_fract_z
Au1 Au 0.500 0.500 0.500
Ta1 Ta 0.250 0.250 0.250
Ga1 Ga 0.000 0.000 0.000
Ni1 Ni 0.750 0.750 0.750

---

Record 4
# TbGa2NiAu PBE-GGA relaxed
# * space group: P4/nmm (129)
# * V: 18.1 A^3/atom
# * uncorrected energy: -4.515 eV/atom
data_TbGa2NiAu
_chemical_formula_sum 'Tb2 Ga4 Ni2 Au2'
_cell_length_a 4.226
_cell_length_b 4.226
_cell_length_c 10.146
_cell_angle_alpha 90.00
_cell_angle_beta 90.00
_cell_angle_gamma 90.00
_space_group_name_H-M_alt 'P 1'
_space_group_IT_number 1
_space_group_name_Hall 'P 1'
loop_
_atom_site_label
_atom_site_type_symbol
_atom_site_fract_x
_atom_site_fract_y
_atom_site_fract_z
Ga1 Ga 0.000 0.000 0.500
Ni1 Ni 0.000 0.500 0.617
Au1 Au 0.000 0.000 0.000
Au2 Au 0.500 0.500 0.000
Tb1 Tb 0.500 0.000 0.735
Ga2 Ga 0.000 0.500 0.843
Ga3 Ga 0.500 0.000 0.157
Ga4 Ga 0.500 0.500 0.500
Tb2 Tb 0.000 0.500 0.265
Ni2 Ni 0.500 0.000 0.383

---

Record 5
# Ga2NiTe4Au PBE-GGA relaxed
# * space group: I-4 (82)
# * V: 29.0 A^3/atom
# * uncorrected energy: -3.654 eV/atom
data_Ga2NiTe4Au
_chemical_formula_sum 'Ga2 Ni1 Te4 Au1'
_cell_length_a 7.528
_cell_length_b 7.528
_cell_length_c 7.528
_cell_angle_alpha 131.85
_cell_angle_beta 131.85
_cell_angle_gamma 70.46
_space_group_name_H-M_alt 'P 1'
_space_group_IT_number 1
_space_group_name_Hall 'P 1'
loop_
_atom_site_label
_atom_site_type_symbol
_atom_site_fract_x
_atom_site_fract_y
_atom_site_fract_z
Te1 Te 0.136 0.631 0.032
Ga1 Ga 0.500 0.500 0.000
Te2 Te 0.369 0.401 0.505
Te3 Te 0.896 0.864 0.495
Au1 Au 0.000 0.000 0.000
Te4 Te 0.599 0.104 0.968
Ni1 Ni 0.250 0.750 0.500
Ga2 Ga 0.750 0.250 0.500

---

Record 6
# Y2Ga4NiAu PBE-GGA relaxed
# * space group: Amm2 (38)
# * V: 18.4 A^3/atom
# * uncorrected energy: -4.886 eV/atom
data_Y2Ga4NiAu
_chemical_formula_sum 'Y2 Ga4 Ni1 Au1'
_cell_length_a 6.671
_cell_length_b 5.524
_cell_length_c 5.524
_cell_angle_alpha 46.34
_cell_angle_beta 90.00
_cell_angle_gamma 90.00
_space_group_name_H-M_alt 'P 1'
_space_group_IT_number 1
_space_group_name_Hall 'P 1'
loop_
_atom_site_label
_atom_site_type_symbol
_atom_site_fract_x
_atom_site_fract_y
_atom_site_fract_z
Ga1 Ga 0.211 0.132 0.132
Ga2 Ga 0.789 0.132 0.132
Y1 Y 0.000 0.416 0.416
Au1 Au 0.000 0.705 0.705
Y2 Y 0.500 0.579 0.579
Ga3 Ga 0.312 0.871 0.871
Ga4 Ga 0.688 0.871 0.871
Ni1 Ni 0.500 0.295 0.295

---

Record 7
# NpGaAu PBE-GGA relaxed
# * space group: F-43m (216)
# * V: 23.5 A^3/atom
# * uncorrected energy: -6.236 eV/atom
data_NpGaAu
_chemical_formula_sum 'Np1 Ga1 Au1'
_cell_length_a 4.635
_cell_length_b 4.635
_cell_length_c 4.635
_cell_angle_alpha 60.00
_cell_angle_beta 60.00
_cell_angle_gamma 60.00
_space_group_name_H-M_alt 'P 1'
_space_group_IT_number 1
_space_group_name_Hall 'P 1'
loop_
_atom_site_label
_atom_site_type_symbol
_atom_site_fract_x
_atom_site_fract_y
_atom_site_fract_z
Au1 Au 0.500 0.500 0.500
Np1 Np 0.000 0.000 0.000
Ga1 Ga 0.250 0.250 0.250

---

Record 8
# Ga2Au2O5 PBE-GGA relaxed
# * space group: P4/mmm (123)
# * distance to the lowest polymorph of the same formula: 0.000 eV/f.u.
# * V: 12.0 A^3/atom
# * uncorrected energy: -4.740 eV/atom
data_Ga2Au2O5
_chemical_formula_sum 'Ga2 Au2 O5'
_cell_length_a 7.892
_cell_length_b 3.700
_cell_length_c 3.700
_cell_angle_alpha 90.00
_cell_angle_beta 90.00
_cell_angle_gamma 90.00
_space_group_name_H-M_alt 'P 1'
_space_group_IT_number 1
_space_group_name_Hall 'P 1'
loop_
_atom_site_label
_atom_site_type_symbol
_atom_site_fract_x
_atom_site_fract_y
_atom_site_fract_z
O1 O 0.822 0.000 0.500
Au1 Au 0.500 0.000 0.000
Ga1 Ga 0.260 0.500 0.500
Ga2 Ga 0.740 0.500 0.500
O2 O 0.500 0.500 0.500
Au2 Au 0.000 0.000 0.000
O3 O 0.178 0.000 0.500
O4 O 0.178 0.500 0.000
O5 O 0.822 0.500 0.000

---

Record 9
# Ga2Au2O5 PBE-GGA relaxed
# * space group: P4/mmm (123)
# * distance to the lowest polymorph of the same formula: 6.380 eV/f.u.
# * V: 12.6 A^3/atom
# * uncorrected energy: -4.031 eV/atom
data_Ga2Au2O5
_chemical_formula_sum 'Ga2 Au2 O5'
_cell_length_a 6.852
_cell_length_b 4.075
_cell_length_c 4.075
_cell_angle_alpha 90.00
_cell_angle_beta 90.00
_cell_angle_gamma 90.00
_space_group_name_H-M_alt 'P 1'
_space_group_IT_number 1
_space_group_name_Hall 'P 1'
loop_
_atom_site_label
_atom_site_type_symbol
_atom_site_fract_x
_atom_site_fract_y
_atom_site_fract_z
Au1 Au 0.803 0.500 0.500
Au2 Au 0.197 0.500 0.500
O1 O 0.500 0.500 0.500
O2 O 0.752 0.000 0.500
Ga1 Ga 0.500 0.000 0.000
O3 O 0.248 0.500 0.000
Ga2 Ga 0.000 0.000 0.000
O4 O 0.752 0.500 0.000
O5 O 0.248 0.000 0.500

---

Record 10
# GaAuO2 PBE-GGA relaxed
# * space group: P6_3/mmc (194)
# * V: 12.3 A^3/atom
# * uncorrected energy: -5.206 eV/atom
data_GaAuO2
_chemical_formula_sum 'Ga2 Au2 O4'
_cell_length_a 3.019
_cell_length_b 3.019
_cell_length_c 12.436
_cell_angle_alpha 90.00
_cell_angle_beta 90.00
_cell_angle_gamma 120.00
_space_group_name_H-M_alt 'P 1'
_space_group_IT_number 1
_space_group_name_Hall 'P 1'
loop_
_atom_site_label
_atom_site_type_symbol
_atom_site_fract_x
_atom_site_fract_y
_atom_site_fract_z
O1 O 0.333 0.667 0.920
Ga1 Ga 0.000 0.000 0.500
O2 O 0.667 0.333 0.420
Ga2 Ga 0.000 0.000 0.000
O3 O 0.333 0.667 0.580
O4 O 0.667 0.333 0.080
Au1 Au 0.333 0.667 0.750
Au2 Au 0.667 0.333 0.250

---

Record 11
# GaAuSO PBE-GGA relaxed
# * space group: P2_1/c (14)
# * distance to the lowest polymorph of the same formula: 0.557 eV/f.u.
# * V: 16.7 A^3/atom
# * uncorrected energy: -4.504 eV/atom
data_GaAuSO
_chemical_formula_sum 'Ga4 Au4 S4 O4'
_cell_length_a 7.141
_cell_length_b 6.904
_cell_length_c 5.582
_cell_angle_alpha 90.00
_cell_angle_beta 103.45
_cell_angle_gamma 90.00
_space_group_name_H-M_alt 'P 1'
_space_group_IT_number 1
_space_group_name_Hall 'P 1'
loop_
_atom_site_label
_atom_site_type_symbol
_atom_site_fract_x
_atom_site_fract_y
_atom_site_fract_z
Au1 Au 0.115 0.757 0.147
Au2 Au 0.115 0.743 0.647
O1 O 0.477 0.337 0.086
O2 O 0.523 0.837 0.414
Ga1 Ga 0.523 0.403 0.769
Au3 Au 0.885 0.243 0.853
S1 S 0.791 0.521 0.588
Ga2 Ga 0.523 0.097 0.269
Au4 Au 0.885 0.257 0.353
O3 O 0.477 0.163 0.586
Ga3 Ga 0.477 0.903 0.731
S2 S 0.791 0.979 0.088
O4 O 0.523 0.663 0.914
S3 S 0.209 0.021 0.912
S4 S 0.209 0.479 0.412
Ga4 Ga 0.477 0.597 0.231

---

Record 12
# GaAuSO PBE-GGA relaxed
# * space group: P2_1 (4)
# * distance to the lowest polymorph of the same formula: 0.000 eV/f.u.
# * V: 18.9 A^3/atom
# * uncorrected energy: -4.643 eV/atom
data_GaAuSO
_chemical_formula_sum 'Ga4 Au4 S4 O4'
_cell_length_a 5.790
_cell_length_b 5.282
_cell_length_c 10.033
_cell_angle_alpha 90.00
_cell_angle_beta 80.64
_cell_angle_gamma 90.00
_space_group_name_H-M_alt 'P 1'
_space_group_IT_number 1
_space_group_name_Hall 'P 1'
loop_
_atom_site_label
_atom_site_type_symbol
_atom_site_fract_x
_atom_site_fract_y
_atom_site_fract_z
Au1 Au 0.007 0.368 0.285
O1 O 0.849 0.475 0.992
Au2 Au 0.635 0.695 0.502
O2 O 0.151 0.975 0.008
S1 S 0.696 0.636 0.266
Ga1 Ga 0.126 0.305 0.934
Ga2 Ga 0.441 0.818 0.902
Au3 Au 0.365 0.195 0.498
Au4 Au 0.993 0.868 0.715
S2 S 0.323 0.103 0.278
Ga3 Ga 0.874 0.805 0.066
O3 O 0.355 0.501 0.000
O4 O 0.645 0.001 0.000
S3 S 0.677 0.603 0.722
S4 S 0.304 0.136 0.734
Ga4 Ga 0.559 0.318 0.098

---

Question: Which value of V does entry 2 give?
Answer: 20.1 A^3/atom